VASP calculation (PBE) on a relaxed ZnCdSb4Mo2 crystal. Values from VASP.

Cell and atoms, written as Quantum ESPRESSO input:
```
&SYSTEM
  ibrav = 0, nat = 16, ntyp = 4
/
ATOMIC_SPECIES
Zn 65.41 Zn.upf
Cd 112.41 Cd.upf
Sb 121.76 Sb.upf
Mo 95.94 Mo.upf
ATOMIC_POSITIONS crystal
Zn 0.000 0.000 0.000
Zn 0.500 0.500 0.500
Cd 0.000 0.500 0.250
Cd 0.500 0.000 0.750
Sb 0.232 0.263 0.619
Sb 0.237 0.732 0.881
Sb 0.263 0.768 0.381
Sb 0.268 0.237 0.119
Sb 0.732 0.763 0.119
Sb 0.737 0.232 0.381
Sb 0.763 0.268 0.881
Sb 0.768 0.737 0.619
Mo 0.000 0.000 0.500
Mo 0.000 0.500 0.750
Mo 0.500 0.000 0.250
Mo 0.500 0.500 0.000
CELL_PARAMETERS angstrom
6.275 0.000 0.000
0.000 6.275 0.000
0.000 0.000 12.653
```

Summary:
Electronic total energy in eV per cell: -72.04
Space group: I-4 (82)

VASP calculation (PBE) on a relaxed Pm3Ga4Ge2 crystal. Values from VASP.

Cell and atoms, written as Quantum ESPRESSO input:
```
&SYSTEM
  ibrav = 0, nat = 9, ntyp = 3
/
ATOMIC_SPECIES
Pm 145.00 Pm.upf
Ga 69.72 Ga.upf
Ge 72.64 Ge.upf
ATOMIC_POSITIONS crystal
Pm 0.000 0.000 0.000
Pm 0.332 0.332 0.333
Pm 0.668 0.668 0.667
Ga 0.031 0.031 0.367
Ga 0.294 0.294 0.964
Ga 0.706 0.706 0.036
Ga 0.969 0.969 0.633
Ge 0.372 0.372 0.705
Ge 0.628 0.628 0.295
CELL_PARAMETERS angstrom
5.635 -2.116 0.000
5.635 2.116 0.000
-1.466 0.000 8.358
```

Summary:
Electronic total energy in eV per cell: -42.00
Space group: C2/m (12)

VASP calculation (PBE) on a relaxed LiYOsW crystal. Values from VASP.

Cell and atoms, written as Quantum ESPRESSO input:
```
&SYSTEM
  ibrav = 0, nat = 16, ntyp = 4
/
ATOMIC_SPECIES
Li 6.94 Li.upf
Y 88.91 Y.upf
Os 190.23 Os.upf
W 183.84 W.upf
ATOMIC_POSITIONS crystal
Li 0.000 0.000 0.000
Li 0.000 0.500 0.500
Li 0.500 0.000 0.500
Li 0.500 0.500 0.000
Y 0.250 0.250 0.750
Y 0.250 0.750 0.250
Y 0.750 0.250 0.250
Y 0.750 0.750 0.750
Os 0.250 0.250 0.250
Os 0.250 0.750 0.750
Os 0.750 0.250 0.750
Os 0.750 0.750 0.250
W 0.000 0.000 0.500
W 0.000 0.500 0.000
W 0.500 0.000 0.000
W 0.500 0.500 0.500
CELL_PARAMETERS angstrom
6.443 0.000 0.000
0.000 6.443 0.000
0.000 0.000 6.443
```

Summary:
Electronic total energy in eV per cell: -126.15
Space group: F-43m (216)

VASP calculation (PBE) on a relaxed CuAg4 crystal. Values from VASP.

Cell and atoms, written as Quantum ESPRESSO input:
```
&SYSTEM
  ibrav = 0, nat = 10, ntyp = 2
/
ATOMIC_SPECIES
Cu 63.55 Cu.upf
Ag 107.87 Ag.upf
ATOMIC_POSITIONS crystal
Cu 0.153 0.153 0.153
Cu 0.847 0.847 0.847
Ag 0.052 0.052 0.052
Ag 0.246 0.246 0.246
Ag 0.351 0.351 0.351
Ag 0.455 0.455 0.455
Ag 0.545 0.545 0.545
Ag 0.649 0.649 0.649
Ag 0.754 0.754 0.754
Ag 0.948 0.948 0.948
CELL_PARAMETERS angstrom
1.454 0.840 22.917
-1.454 0.840 22.917
0.000 -1.679 22.917
```

Summary:
Electronic total energy in eV per cell: -29.59
Space group: R-3m (166)

| no. | ρ (g/cm3) |
| --- | --- |
| 1 | 5.7 |
| 2 | 7.2 |
| 3 | 11.7 |
| 4 | 9.8 |